Density functional theory data (PBE) for a geometry-optimized NiSb2Mo structure.

Lattice parameters (Å, degrees): 8.147 8.147 8.147 23.22 23.22 23.22
Positions (direct):
Ni 0.750 0.750 0.750
Sb 0.005 0.005 0.005
Sb 0.495 0.495 0.495
Mo 0.250 0.250 0.250

calculated density	9.0	Mg/m³
formation energy without anion corrections	0.2140	eV per atom
excess energy over the best structure of this formula in the dataset	0.205	eV per atom
space-group type	No. 166